Na4BS4 (PBE, relaxed); polymorph energy (0 for the lowest one) = 0.00 kJ/mol of atoms; size of the total moment = 1.01 μB/f.u.; N(E_F) = 10.278 states/eV/cell
1.0
-2.709 5.213 1.281
-5.362 -1.445 -5.461
-4.426 -3.603 5.299
Na B S
8 2 8
Cartesian
-6.806 -2.183 4.274
-8.379 0.921 2.427
-4.861 0.750 -3.547
-3.870 -1.337 1.585
-10.367 -0.673 -0.747
-6.749 -2.112 -1.353
-5.997 2.859 -0.419
-2.961 2.437 2.260
0.000 0.000 0.000
-6.249 0.083 0.560
-7.853 0.692 -0.368
-5.593 1.300 1.937
-9.328 -3.374 -1.053
-7.791 0.393 5.203
-6.467 3.159 -3.251
-4.840 -0.070 -0.781
-6.709 -1.591 1.452
-1.409 0.153 1.341

---

Na3Ac2SmSe6 (PBE, relaxed); size of the total moment = 0.00 μB/f.u.; N(E_F) = 0.000 states/eV/cell
1.0
4.423 0.000 0.000
0.000 8.676 0.441
-2.212 -2.374 9.200
Na Ac Sm Se
3 2 1 6
Cartesian
2.212 4.338 0.220
2.212 -0.132 6.262
0.000 6.434 3.378
2.212 4.247 6.458
0.000 2.055 3.182
2.212 0.000 0.000
0.000 6.398 6.676
2.212 4.241 3.330
2.212 -0.096 2.964
2.212 -0.366 9.296
0.000 6.668 0.344
0.000 2.062 6.311

---

KScC2Cl (PBE, relaxed); size of the total moment = 0.35 μB/f.u.; N(E_F) = 3.180 states/eV/cell
1.0
-1.296 4.103 1.819
-4.329 -1.239 -0.290
0.236 -1.828 4.292
Sc K C Cl
1 1 2 1
Cartesian
-2.164 -0.619 -0.145
-2.694 0.518 2.910
0.118 -0.914 2.146
-0.648 2.051 0.909
0.000 0.000 0.000

---

YNF3 (PBE, relaxed); polymorph energy (0 for the lowest one) = 7.18 kJ/mol of atoms; size of the total moment = 3.00 μB/f.u.; N(E_F) = 0.000 states/eV/cell
1.0
-6.277 -1.751 -2.839
3.128 0.600 -7.287
0.658 -7.295 3.045
Y N F
4 4 12
Cartesian
-2.818 -4.675 -4.234
0.327 -3.772 -2.846
-0.908 -7.720 2.320
-1.583 -0.727 -9.400
-2.502 -8.292 -2.700
0.011 -0.155 -4.379
-1.223 -4.102 0.786
-1.268 -4.344 -7.866
-3.766 -3.005 -3.167
1.275 -5.441 -3.913
-0.617 -2.093 -1.792
-1.874 -6.353 -5.288
-1.013 -3.433 -4.580
-1.478 -5.013 -2.500
2.868 -0.197 -6.259
-5.359 -8.249 -0.821
-4.124 -4.301 -5.987
1.633 -4.145 -1.093
-0.243 -1.066 -7.665
-2.248 -7.381 0.585

---

no.,ΔE_f (raw) (eV per atom),total energy (eV/atom)
1,-0.808,-3.9708
2,-1.708,-4.8584
3,1.962,-3.5829
4,-2.156,-6.2369